Entry 1:
This record from the Alexandria database describes a relaxed structure of TbLuCo. The functional is GGA-PBE.

Cell: 3.8329 3.8329 6.1001 Å, 90.00 90.00 120.00°
Fractional positions:
Co 0.6667 0.3333 0.3367
Lu 0.3333 0.6667 0.5651
Tb 0.0000 0.0000 0.0981

## Properties
As for the total magnetization: 0.00 μB/atom. As for the energy above the most stable polymorph in this dataset: 87.9 meV/atom. The formation energy from the elements comes out at -0.2 eV per formula unit. Its calculated volume is 78 Å³/cell.

=====

Entry 2:
This record from the Alexandria database describes a relaxed structure of TbLu3Co. The functional is GGA-PBE.

Cell: 5.1636 5.1636 5.1636 Å, 90.00 90.00 90.00°
Fractional positions:
Co 0.0000 0.0000 0.0000
Lu 0.0000 0.5000 0.0000
Lu 0.0000 0.0000 0.5000
Lu 0.5000 0.0000 0.0000
Tb 0.5000 0.5000 0.5000

## Properties
As for the total magnetization: 0.00 μB/atom. The formation energy from the elements comes out at -0.3 eV per formula unit. Its calculated volume is 138 Å³/cell.

=====

Entry 3:
This record from the Alexandria database describes a relaxed structure of TbLuCo. The functional is GGA-PBE.

Cell: 4.6465 4.6465 4.6465 Å, 60.00 60.00 60.00°
Fractional positions:
Co 0.2500 0.2500 0.2500
Lu 0.0000 0.0000 0.0000
Tb 0.5000 0.5000 0.5000

## Properties
As for the total magnetization: 0.00 μB/atom. As for the energy above the most stable polymorph in this dataset: 65.5 meV/atom. The formation energy from the elements comes out at -0.2 eV per formula unit. Its calculated volume is 71 Å³/cell.

=====

Entry 4:
This record from the Alexandria database describes a relaxed structure of Tb3LuCo. The functional is GGA-PBE.

Cell: 5.2734 5.2734 5.2734 Å, 90.00 90.00 90.00°
Fractional positions:
Co 0.0000 0.0000 0.0000
Lu 0.5000 0.5000 0.5000
Tb 0.0000 0.5000 0.0000
Tb 0.0000 0.0000 0.5000
Tb 0.5000 0.0000 0.0000

## Properties
As for the total magnetization: 0.00 μB/atom. The formation energy from the elements comes out at 0.2 eV per formula unit. Its calculated volume is 147 Å³/cell.

=====

Entry 5:
This record from the Alexandria database describes a relaxed structure of TbLuCo4. The functional is GGA-PBE.

Cell: 5.0399 5.0399 5.0399 Å, 60.00 60.00 60.00°
Each line ends with the local moment (μB).
Fractional positions:
Co 0.6254 0.6254 0.1239  1.14
Co 0.6254 0.1239 0.6254  1.14
Co 0.6254 0.6254 0.6254  1.14
Co 0.1239 0.6254 0.6254  1.14
Lu 0.0000 0.0000 0.0000  -0.32
Tb 0.2500 0.2500 0.2500  -0.34

## Properties
As for the total magnetization: 0.62 μB/atom. The formation energy from the elements comes out at -1.4 eV per formula unit. Its calculated volume is 91 Å³/cell.

=====

Entry 6:
This record from the Alexandria database describes a relaxed structure of TbLuTlCo. The functional is GGA-PBE.

Cell: 5.0636 5.0636 5.0636 Å, 60.00 60.00 60.00°
Each line ends with the local moment (μB).
Fractional positions:
Co 0.5000 0.5000 0.5000  1.44
Tl 0.0000 0.0000 0.0000  0.04
Lu 0.7500 0.7500 0.7500  -0.10
Tb 0.2500 0.2500 0.2500  -0.10

## Properties
As for the total magnetization: 0.31 μB/atom. The formation energy from the elements comes out at -0.5 eV per formula unit. Its calculated volume is 92 Å³/cell.